Record 1
This record from Alexandria describes an optimized crystal structure of AcPm5PrSm2. The functional is PBE-GGA.

a = 9.1642 Å, b = 9.1642 Å, c = 10.1079 Å
α = 116.96°, β = 116.96°, γ = 90.00°
Sites, in units of the cell vectors:
Pm: 0.9204 0.4204 0.2588
Sm: 0.1124 0.3876 0.0000
Sm: 0.6124 0.1124 0.0000
Pm: 0.0000 0.0000 0.0000
Ac: 0.7500 0.2500 0.5000
Pr: 0.7500 0.7500 0.5000
Pm: 0.8384 0.9204 0.2588
Pm: 0.4204 0.3384 0.2588
Sm: 0.3876 0.8876 0.0000
Ac: 0.2500 0.7500 0.5000
Pm: 0.6616 0.1616 0.7412
Sm: 0.8876 0.6124 0.0000
Pm: 0.3384 0.8384 0.2588
Pr: 0.2500 0.2500 0.5000
Pm: 0.1616 0.0796 0.7412
Pm: 0.5796 0.6616 0.7412
Pm: 0.0796 0.5796 0.7412
Pm: 0.5000 0.5000 0.0000

The space group is I4/mcm, No. 140. As for the total magnetization: 0.000 μB per atom. The final energy comes out at -4.41 eV/atom. The energy relative to the elements is 263 meV per atom.

---

Record 2
This record from Alexandria describes an optimized crystal structure of BeAg2W. The functional is PBE-GGA.

a = 4.3252 Å, b = 2.7101 Å, c = 5.3189 Å
α = 76.35°, β = 90.00°, γ = 90.00°
Sites, in units of the cell vectors:
Ag: 0.0000 0.1006 0.0146
Ag: 0.0000 0.3994 0.4854
W: 0.5000 0.7500 0.7500
Be: 0.5000 0.2500 0.2500

The space group is P2/m, No. 10. As for the total magnetization: 0.000 μB per atom. The final energy comes out at -4.99 eV/atom. The energy relative to the elements is 609 meV per atom.

---

Record 3
This record from Alexandria describes an optimized crystal structure of CaAs2SeBr. The functional is PBE-GGA.

a = 5.6655 Å, b = 5.6655 Å, c = 5.2128 Å
α = 90.00°, β = 90.00°, γ = 90.00°
Last column: magnetic moment on the atom in μB.
Sites, in units of the cell vectors:
Se: 0.5000 0.5000 0.5000  -0.40
Ca: 0.0000 0.0000 0.0000  0.00
Br: 0.0000 0.0000 0.5000  0.06
As: 0.5000 0.0000 0.0000  0.29
As: 0.0000 0.5000 0.0000  0.29

Its uncorrected formation energy is 11.2 kcal/mol of atoms. The space group is P4/mmm, No. 123. As for the total magnetization: 0.143 μB per atom. For the energy above the most stable polymorph in this dataset, the calculation gives 484 meV per atom. The final energy comes out at -2.81 eV/atom.

---

Record 4
This record from Alexandria describes an optimized crystal structure of Ce2Pa2AlSi4. The functional is PBE-GGA.

a = 6.4062 Å, b = 6.4062 Å, c = 6.4062 Å
α = 99.69°, β = 114.57°, γ = 114.57°
Last column: magnetic moment on the atom in μB.
Sites, in units of the cell vectors:
Si: 0.4884 0.2442 0.2442  -0.01
Al: 0.0000 0.0000 0.0000  0.01
Si: 0.0000 0.7558 0.2442  -0.01
Ce: 0.0000 0.3292 0.3292  0.54
Pa: 0.5000 0.2500 0.7500  0.83
Si: 0.0000 0.2442 0.7558  -0.01
Si: 0.5116 0.7558 0.7558  -0.01
Pa: 0.5000 0.7500 0.2500  0.83
Ce: 0.0000 0.6708 0.6708  0.54

Its uncorrected formation energy is 1.0 kcal/mol of atoms. The space group is I4/mmm, No. 139. As for the total magnetization: 0.394 μB per atom. The final energy comes out at -6.21 eV/atom.

---

Record 5
This record from Alexandria describes an optimized crystal structure of BiIrBr3. The functional is PBE-GGA.

a = 5.0873 Å, b = 5.0873 Å, c = 5.0873 Å
α = 90.00°, β = 90.00°, γ = 90.00°
Sites, in units of the cell vectors:
Br: 0.5000 0.0000 0.0000
Bi: 0.5000 0.5000 0.5000
Br: 0.0000 0.5000 0.0000
Br: 0.0000 0.0000 0.5000
Ir: 0.0000 0.0000 0.0000

Its uncorrected formation energy is 7.4 kcal/mol of atoms. The space group is Pm-3m, No. 221. As for the total magnetization: 0.000 μB per atom. For the energy above the most stable polymorph in this dataset, the calculation gives 0 meV per atom. The final energy comes out at -3.23 eV/atom.

---

Record 6
This record from Alexandria describes an optimized crystal structure of Pr2Y3PuAs6. The functional is PBE-GGA.

a = 4.1952 Å, b = 8.3749 Å, c = 9.3570 Å
α = 102.84°, β = 102.95°, γ = 90.00°
Last column: magnetic moment on the atom in μB.
Sites, in units of the cell vectors:
Y: 0.5000 0.5000 0.0000  0.01
As: 0.3343 0.9245 0.6685  0.04
Pu: 0.5000 0.0000 0.0000  -5.03
Pr: 0.8336 0.6662 0.6672  -0.01
As: 0.6642 0.5900 0.3284  0.01
As: 0.0028 0.7540 0.0057  0.07
As: 0.6657 0.0755 0.3315  0.04
As: 0.3358 0.4100 0.6716  0.01
As: 0.9972 0.2460 0.9943  0.07
Y: 0.1677 0.8338 0.3355  0.00
Y: 0.8323 0.1662 0.6645  0.00
Pr: 0.1664 0.3338 0.3328  -0.01

The space group is C2/m, No. 12. As for the total magnetization: 0.406 μB per atom. The final energy comes out at -7.36 eV/atom. The energy relative to the elements is -1433 meV per atom.

---

Among the records above, which one has the lowest final energy?
Pr2Y3PuAs6

---

Copy entry 4 word for word.
This record from Alexandria describes an optimized crystal structure of Ce2Pa2AlSi4. The functional is PBE-GGA.

a = 6.4062 Å, b = 6.4062 Å, c = 6.4062 Å
α = 99.69°, β = 114.57°, γ = 114.57°
Last column: magnetic moment on the atom in μB.
Sites, in units of the cell vectors:
Si: 0.4884 0.2442 0.2442  -0.01
Al: 0.0000 0.0000 0.0000  0.01
Si: 0.0000 0.7558 0.2442  -0.01
Ce: 0.0000 0.3292 0.3292  0.54
Pa: 0.5000 0.2500 0.7500  0.83
Si: 0.0000 0.2442 0.7558  -0.01
Si: 0.5116 0.7558 0.7558  -0.01
Pa: 0.5000 0.7500 0.2500  0.83
Ce: 0.0000 0.6708 0.6708  0.54

Its uncorrected formation energy is 1.0 kcal/mol of atoms. The space group is I4/mmm, No. 139. As for the total magnetization: 0.394 μB per atom. The final energy comes out at -6.21 eV/atom.